Entry 1:
Below is an optimized crystal structure of La3BrO3, with properties calculated at the PBE-GGA level.

Summary:
Space-group type: R-3, No. 148
VASP energy (eV per atom): -7.35

abc: 8.4175 8.4175 8.4175
angles: 49.92 49.92 49.92
Closest atoms and distances in Å follow each position.
Positions (direct):
La: 0.0758 0.4048 0.7142  4 O 2.39-2.43
La: 0.2858 0.9242 0.5952  4 O 2.39-2.43
La: 0.4048 0.7142 0.0758  4 O 2.39-2.43
La: 0.5952 0.2858 0.9242  4 O 2.39-2.43
La: 0.7142 0.0758 0.4048  4 O 2.39-2.43
La: 0.9242 0.5952 0.2858  4 O 2.39-2.43
Br: 0.1666 0.1666 0.1666  6 La 3.28-3.32, 6 O 3.53-3.61
Br: 0.8334 0.8334 0.8334  6 La 3.28-3.32, 6 O 3.53-3.61
O: 0.0378 0.7282 0.3660  4 La 2.39-2.43
O: 0.2718 0.6340 0.9622  4 La 2.39-2.43
O: 0.3660 0.0378 0.7282  4 La 2.39-2.43
O: 0.6340 0.9622 0.2718  4 La 2.39-2.43
O: 0.7282 0.3660 0.0378  4 La 2.39-2.43
O: 0.9622 0.2718 0.6340  4 La 2.39-2.43

Entry 2:
Below is an optimized crystal structure of LaBrO2, with properties calculated at the PBE-GGA level.

Summary:
Space-group type: P2_1/c, No. 14
VASP energy (eV per atom): -6.23

abc: 6.6003 3.9161 13.4974
angles: 90.00 119.23 90.00
Closest atoms and distances in Å follow each position.
Positions (direct):
La: 0.2066 0.2500 0.4567  6 O 2.39-2.54
La: 0.2066 0.2500 0.9567  6 O 2.39-2.54
La: 0.7934 0.7500 0.0433  6 O 2.39-2.54
La: 0.7934 0.7500 0.5433  6 O 2.39-2.54
Br: 0.2499 0.9998 0.2500  2 O 2.11-2.12
Br: 0.2499 0.5002 0.7500  2 O 2.11-2.12
Br: 0.7501 0.0002 0.7500  2 O 2.11-2.12
Br: 0.7501 0.4998 0.2500  2 O 2.11-2.12
O: 0.0687 0.2484 0.0910  1 Br 2.12
O: 0.0687 0.2516 0.5910  1 Br 2.12
O: 0.3872 0.7484 0.9088  1 Br 2.11
O: 0.3872 0.7516 0.4088  1 Br 2.11
O: 0.6128 0.2484 0.5912  1 Br 2.11
O: 0.6128 0.2516 0.0912  1 Br 2.11
O: 0.9313 0.7484 0.4090  1 Br 2.12
O: 0.9313 0.7516 0.9090  1 Br 2.12

Entry 3:
Below is an optimized crystal structure of La3BrO, with properties calculated at the PBE-GGA level.

Summary:
Space-group type: Pm-3m, No. 221
VASP energy (eV per atom): -5.54

abc: 5.0354 5.0354 5.0354
angles: 90.00 90.00 90.00
Closest atoms and distances in Å follow each position.
Positions (direct):
La: 0.0000 0.0000 0.5000  2 O 2.52
La: 0.0000 0.5000 0.0000  2 O 2.52
La: 0.5000 0.0000 0.0000  2 O 2.52
Br: 0.5000 0.5000 0.5000  12 La 3.56
O: 0.0000 0.0000 0.0000  6 La 2.52

Entry 4:
Below is an optimized crystal structure of LaBrO3, with properties calculated at the PBE-GGA level.

Summary:
Space-group type: Pm-3m, No. 221
VASP energy (eV per atom): -5.27

abc: 4.1626 4.1626 4.1626
angles: 90.00 90.00 90.00
Closest atoms and distances in Å follow each position.
Positions (direct):
La: 0.0000 0.0000 0.0000  12 O 2.94
Br: 0.5000 0.5000 0.5000  6 O 2.08
O: 0.0000 0.5000 0.5000  2 Br 2.08
O: 0.5000 0.0000 0.5000  2 Br 2.08
O: 0.5000 0.5000 0.0000  2 Br 2.08

Entry 5:
Below is an optimized crystal structure of LaBrO2, with properties calculated at the PBE-GGA level.

Summary:
Space-group type: P-1, No. 2
VASP energy (eV per atom): -6.28

abc: 3.9420 3.9524 6.0607
angles: 97.22 97.64 119.86
Closest atoms and distances in Å follow each position.
Positions (direct):
La: 0.0000 0.0000 0.0000  6 O 2.45-2.49
Br: 0.5000 0.0000 0.5000  2 O 2.09
O: 0.3999 0.7232 0.1606  1 Br 2.09
O: 0.6001 0.2768 0.8394  1 Br 2.09

Entry 6:
Below is an optimized crystal structure of LaBr3O, with properties calculated at the PBE-GGA level.

Summary:
Space-group type: Pm-3m, No. 221
VASP energy (eV per atom): -3.53

abc: 4.8932 4.8932 4.8932
angles: 90.00 90.00 90.00
Closest atoms and distances in Å follow each position.
Positions (direct):
La: 0.0000 0.0000 0.0000  12 Br 3.46
Br: 0.0000 0.5000 0.5000  2 O 2.45
Br: 0.5000 0.0000 0.5000  2 O 2.45
Br: 0.5000 0.5000 0.0000  2 O 2.45
O: 0.5000 0.5000 0.5000  6 Br 2.45

Entry 7:
Below is an optimized crystal structure of LaBrO2, with properties calculated at the PBE-GGA level.

Summary:
Space-group type: P1, No. 1
VASP energy (eV per atom): -6.21

abc: 3.9690 6.9359 6.9685
angles: 73.78 89.76 79.96
Closest atoms and distances in Å follow each position.
Positions (direct):
La: 0.0000 0.0000 0.0000  4 O 2.30-2.53
La: 0.4681 0.1042 0.5156  7 O 2.38-2.56
Br: 0.3933 0.3379 0.0541  3 La 3.14-3.16, 4 O 3.39-3.50
Br: 0.9551 0.6686 0.4263  1 O 1.98
O: 0.0156 0.9567 0.3723  1 Br 1.98
O: 0.5206 0.9319 0.8646  3 La 2.30-2.38
O: 0.8990 0.3455 0.4566  1 O 1.46
O: 0.9336 0.2180 0.6640  1 O 1.46

Entry 8:
Below is an optimized crystal structure of LaBrO2, with properties calculated at the PBE-GGA level.

Summary:
Space-group type: P3m1, No. 156
VASP energy (eV per atom): -6.14

abc: 3.8942 3.8942 6.7989
angles: 90.00 90.00 120.00
Closest atoms and distances in Å follow each position.
Positions (direct):
La: 0.0000 0.0000 0.0000  6 O 2.35-2.59
Br: 0.3333 0.6667 0.5369  1 O 1.85
O: 0.3333 0.6667 0.8095  1 Br 1.85
O: 0.6667 0.3333 0.0996  3 La 2.35

Entry 9:
Below is an optimized crystal structure of LaBrO2, with properties calculated at the PBE-GGA level.

Summary:
Space-group type: Pnma, No. 62
VASP energy (eV per atom): -6.17

abc: 7.0360 3.8662 12.4536
angles: 90.00 90.00 90.00
Closest atoms and distances in Å follow each position.
Positions (direct):
La: 0.1403 0.2500 0.1013  5 O 2.35-2.43
La: 0.3597 0.7500 0.6013  5 O 2.35-2.43
La: 0.6403 0.2500 0.3987  5 O 2.35-2.43
La: 0.8597 0.7500 0.8987  5 O 2.35-2.43
Br: 0.1124 0.7500 0.3802  1 O 1.91
Br: 0.3876 0.2500 0.8802  1 O 1.91
Br: 0.6124 0.7500 0.1198  1 O 1.91
Br: 0.8876 0.2500 0.6198  1 O 1.91
O: 0.0577 0.2500 0.9184  3 La 2.35-2.40, 1 Br 2.37
O: 0.1585 0.2500 0.6329  1 Br 1.91
O: 0.3415 0.7500 0.1329  1 Br 1.91
O: 0.4423 0.7500 0.4184  3 La 2.35-2.40, 1 Br 2.37
O: 0.5577 0.2500 0.5816  3 La 2.35-2.40, 1 Br 2.37
O: 0.6585 0.2500 0.8671  1 Br 1.91
O: 0.8415 0.7500 0.3671  1 Br 1.91
O: 0.9423 0.7500 0.0816  3 La 2.35-2.40, 1 Br 2.37

Entry 10:
Below is an optimized crystal structure of La2BrO2, with properties calculated at the PBE-GGA level.

Summary:
Space-group type: I4/mmm, No. 139
VASP energy (eV per atom): -7.16

abc: 6.9017 6.9017 6.9017
angles: 144.33 144.33 51.34
Closest atoms and distances in Å follow each position.
Positions (direct):
La: 0.1584 0.1584 0.0000  4 O 2.40
La: 0.8416 0.8416 0.0000  4 O 2.40
Br: 0.5000 0.5000 0.0000  8 La 3.58, 8 O 3.76
O: 0.2500 0.7500 0.5000  4 La 2.40
O: 0.7500 0.2500 0.5000  4 La 2.40

Entry 11:
Below is an optimized crystal structure of LaBr2O, with properties calculated at the PBE-GGA level.

Summary:
Space-group type: I-42d, No. 122
VASP energy (eV per atom): -4.51

abc: 11.9060 11.9060 11.9060
angles: 160.71 160.71 27.42
Closest atoms and distances in Å follow each position.
Positions (direct):
La: 0.0000 0.0000 0.0000  4 O 2.82
La: 0.7500 0.2500 0.5000  4 O 2.82
Br: 0.1241 0.6250 0.9991  4 Br 2.82-2.83
Br: 0.3750 0.3741 0.4991  4 Br 2.82-2.83
Br: 0.6259 0.1250 0.0009  4 Br 2.82-2.83
Br: 0.8750 0.8759 0.5009  4 Br 2.82-2.83
O: 0.2500 0.7500 0.5000  4 La 2.82
O: 0.5000 0.5000 0.0000  4 La 2.82

Entry 12:
Below is an optimized crystal structure of LaBrO2, with properties calculated at the PBE-GGA level.

Summary:
Space-group type: P2_1/m, No. 11
VASP energy (eV per atom): -6.21

abc: 5.2094 4.4865 6.8801
angles: 90.00 105.89 90.00
Closest atoms and distances in Å follow each position.
Positions (direct):
La: 0.1966 0.2500 0.3442  6 O 2.44-2.64
La: 0.8034 0.7500 0.6558  6 O 2.44-2.64
Br: 0.2182 0.2500 0.8981  3 La 3.10-3.24, 5 O 3.17-3.36
Br: 0.7818 0.7500 0.1019  3 La 3.10-3.24, 5 O 3.17-3.36
O: 0.2470 0.7500 0.5416  1 O 1.49
O: 0.3857 0.7500 0.3784  1 O 1.49
O: 0.6143 0.2500 0.6216  1 O 1.49
O: 0.7530 0.2500 0.4584  1 O 1.49

Entry 13:
Below is an optimized crystal structure of La2BrO, with properties calculated at the PBE-GGA level.

Summary:
Space-group type: I-42d, No. 122
VASP energy (eV per atom): -5.93

abc: 7.3774 7.3774 7.3774
angles: 127.71 127.71 77.10
Closest atoms and distances in Å follow each position.
Positions (direct):
La: 0.0396 0.6250 0.9146  2 O 2.42
La: 0.3750 0.2896 0.4146  2 O 2.42
La: 0.7104 0.1250 0.0854  2 O 2.42
La: 0.8750 0.9604 0.5854  2 O 2.42
Br: 0.2500 0.7500 0.5000  4 La 3.08
Br: 0.5000 0.5000 0.0000  4 La 3.08
O: 0.0000 0.0000 0.0000  4 La 2.42
O: 0.7500 0.2500 0.5000  4 La 2.42

Entry 14:
Below is an optimized crystal structure of LaBrO2, with properties calculated at the PBE-GGA level.

Summary:
Space-group type: R3m, No. 160
VASP energy (eV per atom): -5.75

abc: 6.4438 6.4438 6.4438
angles: 36.85 36.85 36.85
Closest atoms and distances in Å follow each position.
Positions (direct):
La: 0.0000 0.0000 0.0000  4 O 2.37
Br: 0.5363 0.5363 0.5363  3 O 2.35
O: 0.3503 0.3503 0.3503  3 La 2.37
O: 0.8684 0.8684 0.8684  3 Br 2.35, 1 La 2.37

Entry 15:
Below is an optimized crystal structure of LaBr3O, with properties calculated at the PBE-GGA level.

Summary:
Space-group type: Pm-3m, No. 221
VASP energy (eV per atom): -3.86

abc: 5.8691 5.8691 5.8691
angles: 90.00 90.00 90.00
Closest atoms and distances in Å follow each position.
Positions (direct):
La: 0.0000 0.0000 0.0000  6 Br 2.93
Br: 0.0000 0.0000 0.5000  2 La 2.93
Br: 0.0000 0.5000 0.0000  2 La 2.93
Br: 0.5000 0.0000 0.0000  2 La 2.93
O: 0.5000 0.5000 0.5000  12 Br 4.15

Entry 16:
Below is an optimized crystal structure of LaBrO2, with properties calculated at the PBE-GGA level.

Summary:
Space-group type: R-3m, No. 166
VASP energy (eV per atom): -6.27

abc: 6.4326 6.4326 6.4326
angles: 35.32 35.32 35.32
Closest atoms and distances in Å follow each position.
Positions (direct):
La: 0.0000 0.0000 0.0000  6 O 2.44
Br: 0.5000 0.5000 0.5000  2 O 2.08
O: 0.3850 0.3850 0.3850  1 Br 2.08
O: 0.6150 0.6150 0.6150  1 Br 2.08

Entry 17:
Below is an optimized crystal structure of LaBr2O, with properties calculated at the PBE-GGA level.

Summary:
Space-group type: R-3m, No. 166
VASP energy (eV per atom): -3.28

abc: 9.1582 9.1582 9.1582
angles: 27.92 27.92 27.92
Closest atoms and distances in Å follow each position.
Positions (direct):
La: 0.0000 0.0000 0.0000  2 Br 2.72
Br: 0.1030 0.1030 0.1030  1 La 2.72
Br: 0.8970 0.8970 0.8970  1 La 2.72
O: 0.5000 0.5000 0.5000  6 Br 3.05

Entry 18:
Below is an optimized crystal structure of LaBrO2, with properties calculated at the PBE-GGA level.

Summary:
Space-group type: P1, No. 1
VASP energy (eV per atom): -6.16

abc: 4.1432 5.5423 6.9030
angles: 89.72 86.62 86.54
Closest atoms and distances in Å follow each position.
Positions (direct):
La: 0.0000 0.0000 0.0000  5 O 2.32-2.59
La: 0.4966 0.2517 0.5687  3 O 2.29-2.46
Br: 0.4371 0.4259 0.0415  2 O 1.98-2.19
Br: 0.9049 0.6967 0.4036  6 O 3.22-3.58, 4 La 3.24-3.60, 1 Br 3.51
O: 0.3296 0.6880 0.8119  1 O 1.46
O: 0.5039 0.1495 0.2214  1 Br 1.98
O: 0.5251 0.8965 0.8266  1 O 1.46
O: 0.9886 0.2064 0.7074  3 La 2.29-2.32

Entry 19:
Below is an optimized crystal structure of LaBrO2, with properties calculated at the PBE-GGA level.

Summary:
Space-group type: Pnma, No. 62
VASP energy (eV per atom): -6.14

abc: 7.4877 6.6015 6.0934
angles: 90.00 90.00 90.00
Closest atoms and distances in Å follow each position.
Positions (direct):
La: 0.1315 0.2500 0.0810  4 O 2.45
La: 0.3685 0.7500 0.5810  4 O 2.45
La: 0.6315 0.2500 0.4190  4 O 2.45
La: 0.8685 0.7500 0.9190  4 O 2.45
Br: 0.0000 0.0000 0.5000  2 O 2.07
Br: 0.0000 0.5000 0.5000  2 O 2.07
Br: 0.5000 0.0000 0.0000  2 O 2.07
Br: 0.5000 0.5000 0.0000  2 O 2.07
O: 0.1110 0.5231 0.8096  1 Br 2.07
O: 0.1110 0.9769 0.8096  1 Br 2.07
O: 0.3890 0.0231 0.3096  1 Br 2.07
O: 0.3890 0.4769 0.3096  1 Br 2.07
O: 0.6110 0.5231 0.6904  1 Br 2.07
O: 0.6110 0.9769 0.6904  1 Br 2.07
O: 0.8890 0.0231 0.1904  1 Br 2.07
O: 0.8890 0.4769 0.1904  1 Br 2.07

Entry 20:
Below is an optimized crystal structure of La7Br12O, with properties calculated at the PBE-GGA level.

Summary:
Space-group type: R-3, No. 148
VASP energy (eV per atom): -4.86

abc: 9.3426 9.3426 9.3426
angles: 107.69 107.69 107.69
Closest atoms and distances in Å follow each position.
Positions (direct):
La: 0.0000 0.0000 0.0000  6 Br 3.02
La: 0.1955 0.4678 0.3950  1 O 2.60
La: 0.3950 0.1955 0.4678  1 O 2.60
La: 0.4678 0.3950 0.1955  1 O 2.60
La: 0.5322 0.6050 0.8045  1 O 2.60
La: 0.6050 0.8045 0.5322  1 O 2.60
La: 0.8045 0.5322 0.6050  1 O 2.60
Br: 0.0263 0.1124 0.3501  3 La 3.02-3.04
Br: 0.1124 0.3501 0.0263  3 La 3.02-3.04
Br: 0.1834 0.5778 0.7270  3 La 3.01-3.22
Br: 0.2730 0.8166 0.4222  3 La 3.01-3.22
Br: 0.3501 0.0263 0.1124  3 La 3.02-3.04
Br: 0.4222 0.2730 0.8166  3 La 3.01-3.22
Br: 0.5778 0.7270 0.1834  3 La 3.01-3.22
Br: 0.6499 0.9737 0.8876  3 La 3.02-3.04
Br: 0.7270 0.1834 0.5778  3 La 3.01-3.22
Br: 0.8166 0.4222 0.2730  3 La 3.01-3.22
Br: 0.8876 0.6499 0.9737  3 La 3.02-3.04
Br: 0.9737 0.8876 0.6499  3 La 3.02-3.04
O: 0.5000 0.5000 0.5000  6 La 2.60